1.
A relaxed ErGa4 crystal, computed with PBE.

## Properties
* total magnetization: 0.000 μB/atom
* N(E_F): 9.99 states/eV per cell
* calculated formation energy: -7 meV/atom
* crystal system: tetragonal
* relative energy among the computed polymorphs: 1.95 eV per formula unit
* SG: No. 127

The structure in extended XYZ format:
```
20
Lattice="9.527 0.000 0.000 0.000 9.527 0.000 0.000 0.000 5.145" Properties=species:S:1:pos:R:3 pbc="T T T"
Er 1.266 3.497 0.000
Er 3.497 8.260 0.000
Er 6.030 1.266 0.000
Er 8.260 6.030 0.000
Ga 0.000 0.000 1.171
Ga 0.000 0.000 3.974
Ga 0.947 5.710 2.572
Ga 1.021 1.936 2.572
Ga 1.936 8.506 2.572
Ga 2.827 3.742 2.572
Ga 3.742 6.700 2.572
Ga 3.816 0.947 2.572
Ga 4.763 4.763 1.171
Ga 4.763 4.763 3.974
Ga 5.710 8.580 2.572
Ga 5.784 2.827 2.572
Ga 6.700 5.784 2.572
Ga 7.590 1.021 2.572
Ga 8.506 7.590 2.572
Ga 8.580 3.816 2.572
```


2.
A relaxed NdCN3 crystal, computed with PBE.

## Properties
* total magnetization: 0.000 μB/atom
* N(E_F): 1.53 states/eV per cell
* crystal system: monoclinic
* VASP energy: -7.937 eV/atom
* SG: No. 11

The structure in extended XYZ format:
```
10
Lattice="3.663 0.000 0.000 0.000 5.836 0.000 -1.823 0.000 6.200" Properties=species:S:1:pos:R:3 pbc="T T T"
Nd 0.004 1.459 1.878
Nd 1.836 4.377 4.322
C 0.007 1.459 5.171
C 1.833 4.377 1.030
N 0.003 0.414 4.314
N 0.003 2.503 4.314
N 0.003 4.377 5.898
N 1.836 1.459 0.303
N 1.837 3.332 1.886
N 1.837 5.421 1.886
```


3.
A relaxed ScCo4Br crystal, computed with PBE.

## Properties
* total magnetization: 0.986 μB/atom
* N(E_F): 7.72 states/eV per cell
* crystal system: cubic
* VASP energy: -5.879 eV/atom
* SG: No. 216

The structure in extended XYZ format:
```
6
Lattice="0.000 3.496 3.496 3.496 0.000 3.496 3.496 3.496 0.000" Properties=species:S:1:pos:R:3 pbc="T T T"
Sc 0.000 0.000 0.000
Co 4.377 2.615 2.615
Co 2.615 4.377 2.615
Co 2.615 2.615 4.377
Co 4.377 4.377 4.377
Br 1.748 1.748 1.748
```


4.
A relaxed ScTe2As crystal, computed with PBE.

## Properties
* total magnetization: 0.000 μB/atom
* N(E_F): 4.85 states/eV per cell
* crystal system: trigonal
* VASP energy: -4.588 eV/atom
* SG: No. 166

The structure in extended XYZ format:
```
4
Lattice="1.950 1.126 7.958 -1.950 1.126 7.958 0.000 -2.252 7.958" Properties=species:S:1:pos:R:3 pbc="T T T"
Sc 0.000 0.000 0.000
Te 0.000 0.000 6.039
Te 0.000 0.000 17.835
As 0.000 0.000 11.937
```